! Mn2RePtRh | the Alexandria database | PBE | relaxed; values from VASP
! DFT total energy: -7.455 eV/atom
&SYSTEM
  ibrav = 0, nat = 5, ntyp = 4
/
ATOMIC_SPECIES
Re 186.21 Re.upf
Mn 54.94 Mn.upf
Rh 102.91 Rh.upf
Pt 195.08 Pt.upf
CELL_PARAMETERS angstrom
4.496 0.000 0.000
0.000 4.801 0.000
0.000 0.000 4.496
ATOMIC_POSITIONS crystal
Re 0.000 0.000 0.000
Mn 0.000 0.000 0.500
Mn 0.500 0.000 0.000
Rh 0.500 0.500 0.500
Pt 0.000 0.500 0.000